DFT (PBE) results for an optimized crystal structure of La2PdPbSe.

Lattice parameters (Å, degrees): 5.6170 5.4703 5.6170 90.00 90.00 90.00
Element x y z (fractional)
1 Se 0.0000 0.0000 0.0000
2 Pb 0.0000 0.5000 0.0000
3 Pd 0.5000 0.5000 0.5000
4 La 0.0000 0.0000 0.5000
5 La 0.5000 0.0000 0.0000

Computed properties:
Formation energy (no corrections) ... -0.26 eV/atom


DFT (PBE) results for an optimized crystal structure of RbCrSn2.

Lattice parameters (Å, degrees): 5.2315 5.2315 5.2315 60.00 60.00 60.00
Element x y z (fractional)
1 Sn 0.2500 0.2500 0.2500
2 Sn 0.7500 0.7500 0.7500
3 Cr 0.0000 0.0000 0.0000
4 Rb 0.5000 0.5000 0.5000

Computed properties:
Energy relative to the lowest polymorph listed for this composition ... 625 meV per atom
Formation energy ... 0.966 eV per atom


Number 1: D(E_F) 4.00 states/eV/f.u.. Number 2: D(E_F) 10.45 states/eV/f.u..